1.
Compound: NaNdBiAu
Source: the Alexandria database
Functional: PBE
Structure: relaxed

Results
Spin magnetization = 0.00 μB/cell
VASP energy = -15.66 eV/f.u.
SG = No. 216
Energy of formation = -0.6039 eV per atom

a = 5.353 Å, b = 5.353 Å, c = 5.353 Å
α = 60.00°, β = 60.00°, γ = 60.00°
Sites, in units of the cell vectors:
Nd1 0.750 0.750 0.750
Au1 0.000 0.000 0.000
Bi1 0.500 0.500 0.500
Na1 0.250 0.250 0.250



2.
Compound: Na2BiAuO4
Source: the Alexandria database
Functional: PBE
Structure: relaxed

Results
Spin magnetization = 0.00 μB/cell
VASP energy = -37.55 eV/f.u.
SG = No. 82

a = 5.380 Å, b = 5.380 Å, c = 5.380 Å
α = 104.30°, β = 112.12°, γ = 112.12°
Sites, in units of the cell vectors:
Na1 0.500 0.750 0.250
Na2 0.000 0.000 0.000
Bi1 0.500 0.250 0.750
Au1 0.000 0.500 0.500
O1 0.532 0.227 0.325
O2 0.098 0.305 0.773
O3 0.902 0.675 0.206
O4 0.468 0.794 0.695



3.
Compound: Na2BiAuO
Source: the Alexandria database
Functional: PBE
Structure: relaxed

Results
Spin magnetization = 0.00 μB/cell
VASP energy = -18.22 eV/f.u.
SG = No. 123

a = 4.495 Å, b = 4.495 Å, c = 4.957 Å
α = 90.00°, β = 90.00°, γ = 90.00°
Sites, in units of the cell vectors:
Na1 0.000 0.500 0.000
Na2 0.500 0.000 0.000
Au1 0.500 0.500 0.500
Bi1 0.000 0.000 0.500
O1 0.000 0.000 0.000



4.
Compound: NaBiAuO4
Source: the Alexandria database
Functional: PBE
Structure: relaxed

Results
Spin magnetization = 0.00 μB/cell
VASP energy = -33.77 eV/f.u.
SG = No. 74

a = 6.360 Å, b = 7.140 Å, c = 6.726 Å
α = 118.10°, β = 90.00°, γ = 116.44°
Sites, in units of the cell vectors:
Na1 0.842 0.684 0.092
Na2 0.158 0.316 0.908
Bi1 0.500 0.000 0.500
Bi2 0.500 0.000 0.000
Au1 0.500 0.500 0.500
Au2 0.000 0.500 0.500
O1 0.714 0.427 0.658
O2 0.254 0.946 0.223
O3 0.691 0.946 0.223
O4 0.714 0.427 0.269
O5 0.286 0.573 0.731
O6 0.746 0.054 0.777
O7 0.309 0.054 0.777
O8 0.286 0.573 0.342



5.
Compound: NaPaBiAu
Source: the Alexandria database
Functional: PBE
Structure: relaxed

Results
Spin magnetization = 1.68 μB/cell
VASP energy = -18.58 eV/f.u.
SG = No. 216
Energy of formation = -0.1527 eV per atom

a = 5.253 Å, b = 5.253 Å, c = 5.253 Å
α = 60.00°, β = 60.00°, γ = 60.00°
Site moments in Bohr magnetons follow the coordinates.
Sites, in units of the cell vectors:
Na1 0.750 0.750 0.750  0.01
Pa1 0.250 0.250 0.250  1.32
Au1 0.000 0.000 0.000  0.01
Bi1 0.500 0.500 0.500  -0.01



6.
Compound: NaBiPbAu
Source: the Alexandria database
Functional: PBE
Structure: relaxed

Results
Spin magnetization = 0.00 μB/cell
VASP energy = -12.72 eV/f.u.
SG = No. 216
Energy of formation = -0.1341 eV per atom
Relative energy among the computed polymorphs = 15.7 meV/atom

a = 5.249 Å, b = 5.249 Å, c = 5.249 Å
α = 60.00°, β = 60.00°, γ = 60.00°
Sites, in units of the cell vectors:
Pb1 0.250 0.250 0.250
Na1 0.500 0.500 0.500
Au1 0.000 0.000 0.000
Bi1 0.750 0.750 0.750



7.
Compound: NaBiPbAu
Source: the Alexandria database
Functional: PBE
Structure: relaxed

Results
Spin magnetization = 0.00 μB/cell
VASP energy = -12.78 eV/f.u.
SG = No. 8
Energy of formation = -0.1497 eV per atom
Relative energy among the computed polymorphs = 0.0 meV/atom

a = 4.478 Å, b = 5.792 Å, c = 9.025 Å
α = 140.40°, β = 90.00°, γ = 112.74°
Sites, in units of the cell vectors:
Na1 0.263 0.526 0.525
Bi1 0.767 0.533 0.213
Pb1 0.295 0.590 0.947
Au1 0.571 0.142 0.570



8.
Compound: NaBiPdAu
Source: the Alexandria database
Functional: PBE
Structure: relaxed

Results
Spin magnetization = 0.00 μB/cell
VASP energy = -14.50 eV/f.u.
SG = No. 8
Energy of formation = -0.2085 eV per atom
Relative energy among the computed polymorphs = 29.7 meV/atom

a = 4.729 Å, b = 4.725 Å, c = 5.829 Å
α = 114.09°, β = 90.00°, γ = 120.03°
Sites, in units of the cell vectors:
Na1 0.048 0.097 0.874
Bi1 0.253 0.506 0.486
Pd1 0.520 0.039 0.287
Au1 0.841 0.682 0.251